# 1
La3PrP2Br2 | PBE | relaxed

POSCAR file:
```
La3PrP2Br2
1.0
4.195 0.000 0.000
-2.098 3.633 0.000
0.000 0.000 15.069
La Pr P Br
3 1 2 2
Direct
0.000 0.000 0.000
0.000 0.000 0.296
0.667 0.333 0.503
0.667 0.333 0.797
0.333 0.667 0.399
0.333 0.667 0.897
0.000 0.000 0.651
0.667 0.333 0.148
```

***

# 2
LaPrPBr | PBE | relaxed

Output
Energy above the lowest structure with this stoichiometry ... 0 meV/atom

POSCAR file:
```
LaPrPBr
1.0
4.172 0.000 0.000
-2.086 3.613 0.000
0.000 0.000 15.064
La Pr P Br
2 2 2 2
Direct
0.000 0.000 0.148
0.000 0.000 0.852
0.667 0.333 0.353
0.667 0.333 0.647
0.333 0.667 0.252
0.333 0.667 0.748
0.000 0.000 0.500
0.667 0.333 0.000
```

***

# 3
LaPrPBr | PBE | relaxed

Output
Energy above the lowest structure with this stoichiometry ... 5 meV/atom

POSCAR file:
```
LaPrPBr
1.0
2.115 1.221 7.347
-2.115 1.221 7.347
0.000 -2.443 7.347
La Pr P Br
1 1 1 1
Direct
0.000 0.000 0.000
0.530 0.530 0.530
0.264 0.264 0.264
0.765 0.765 0.765
```

***

| no. | total DFT energy (no corrections) (eV/cell) |
| --- | --- |
| 1 | -46.39 |
| 2 | -46.08 |
| 3 | -23.02 |